1.
Compound: Nd2HgP
Source: Alexandria
Functional: PBE-GGA
Structure: relaxed

Output
Energy relative to the lowest polymorph listed for this composition = 26.6 meV per atom
M_tot = 0.00 μB/atom
Raw total energy = -4.755 eV per atom
Space-group type = R3m
Calculated formation energy = -943 meV/atom

Unit cell a=4.099 b=4.099 c=8.157 alpha=75.45 beta=75.45 gamma=60.00
Fractional coordinates of all 4 atoms:
Hg (0.500, 0.500, 0.501)
Nd (0.069, 0.069, 0.793)
Nd (0.264, 0.264, 0.207)
P (0.667, 0.667, 0.999)

2.
Compound: RbNaPt4
Source: Alexandria
Functional: PBE-GGA
Structure: relaxed

Output
M_tot = 0.00 μB/atom
Raw total energy = -4.562 eV per atom
Space-group type = F-43m
Calculated formation energy = -153 meV/atom

Unit cell a=5.507 b=5.507 c=5.507 alpha=60.00 beta=60.00 gamma=60.00
Fractional coordinates of all 6 atoms:
Pt (0.625, 0.124, 0.625)
Pt (0.625, 0.625, 0.625)
Pt (0.124, 0.625, 0.625)
Pt (0.625, 0.625, 0.124)
Rb (0.250, 0.250, 0.250)
Na (0.000, 0.000, 0.000)

3.
Compound: LiUSi2
Source: Alexandria
Functional: PBE-GGA
Structure: relaxed

Output
ΔE_f (raw) = -0.139 eV per atom
M_tot = 0.36 μB/atom
Raw total energy = -6.151 eV per atom
Space-group type = P4/mmm

Unit cell a=3.968 b=4.182 c=4.182 alpha=90.00 beta=90.00 gamma=90.00
Site moments in Bohr magnetons follow the coordinates.
Fractional coordinates of all 4 atoms:
Li (0.500, 0.500, 0.500)  0.03
Si (0.000, 0.000, 0.500)  -0.02
Si (0.000, 0.500, 0.000)  -0.02
U (0.500, 0.000, 0.000)  1.29

4.
Compound: CdSb2Se3Br2
Source: Alexandria
Functional: PBE-GGA
Structure: relaxed

Output
ΔE_f (raw) = -0.488 eV per atom
M_tot = 0.00 μB/atom
Raw total energy = -3.358 eV per atom
Space-group type = C2/m

Unit cell a=11.116 b=11.116 c=12.733 alpha=59.32 beta=59.32 gamma=21.19
Fractional coordinates of all 16 atoms:
Cd (0.651, 0.651, 0.549)
Cd (0.349, 0.349, 0.451)
Sb (0.047, 0.047, 0.216)
Sb (0.293, 0.293, 0.089)
Sb (0.707, 0.707, 0.911)
Sb (0.953, 0.953, 0.784)
Se (0.322, 0.322, 0.862)
Se (0.896, 0.896, 0.025)
Se (0.678, 0.678, 0.138)
Se (0.104, 0.104, 0.975)
Se (0.536, 0.536, 0.785)
Se (0.464, 0.464, 0.215)
Br (0.896, 0.896, 0.539)
Br (0.104, 0.104, 0.461)
Br (0.790, 0.790, 0.352)
Br (0.210, 0.210, 0.648)

Question: Which of these has the highest M_tot?
Answer: LiUSi2

Question: Which formula does entry 4 have?
Answer: CdSb2Se3Br2

What did the second record say?
Compound: RbNaPt4
Source: Alexandria
Functional: PBE-GGA
Structure: relaxed

Output
M_tot = 0.00 μB/atom
Raw total energy = -4.562 eV per atom
Space-group type = F-43m
Calculated formation energy = -153 meV/atom

Unit cell a=5.507 b=5.507 c=5.507 alpha=60.00 beta=60.00 gamma=60.00
Fractional coordinates of all 6 atoms:
Pt (0.625, 0.124, 0.625)
Pt (0.625, 0.625, 0.625)
Pt (0.124, 0.625, 0.625)
Pt (0.625, 0.625, 0.124)
Rb (0.250, 0.250, 0.250)
Na (0.000, 0.000, 0.000)

Question: Number 4 is which compound?
Answer: CdSb2Se3Br2